1.
A plane-wave DFT calculation with GGA-PBE was carried out for a geometry-optimized Li2Pt structure.

a = 9.5821 Å, b = 9.5821 Å, c = 9.5821 Å
α = 163.93°, β = 156.70°, γ = 28.44°
Last column: nearest neighbours and their distance in Å.
Element x y z (fractional)
1 Li 0.2852 0.0352 0.2500  3 Li 2.34-2.53
2 Li 0.4212 0.1712 0.2500  3 Li 2.53-2.68, 4 Pt 2.69
3 Li 0.5788 0.8288 0.7500  3 Li 2.53-2.68, 4 Pt 2.69
4 Li 0.7148 0.9648 0.7500  3 Li 2.34-2.53
5 Pt 0.1488 0.3988 0.7500  10 Li 2.65-2.87, 2 Pt 2.68
6 Pt 0.8512 0.6012 0.2500  10 Li 2.65-2.87, 2 Pt 2.68

The energy relative to the elements comes out at -419 meV/atom. The space-group type is Imma, No. 74. For the total energy, the calculation gives -22.2 eV per cell. The value obtained for the size of the total moment is 0.00 Bohr magnetons per cell.



2.
A plane-wave DFT calculation with GGA-PBE was carried out for a geometry-optimized LiPt5 structure.

a = 5.3341 Å, b = 5.3341 Å, c = 6.7406 Å
α = 105.48°, β = 105.48°, γ = 29.56°
Last column: nearest neighbours and their distance in Å.
Element x y z (fractional)
1 Li 0.0000 0.0000 0.0000  10 Pt 2.69-2.82, 2 Li 2.72
2 Pt 0.0592 0.0592 0.6273  11 Pt 2.72-2.91, 1 Li 2.74
3 Pt 0.3345 0.3345 0.6775  10 Pt 2.72-2.92, 2 Li 2.73
4 Pt 0.3948 0.3948 0.2883  10 Pt 2.69-2.86, 2 Li 2.82
5 Pt 0.6602 0.6602 0.3181  2 Li 2.69, 10 Pt 2.69-2.92
6 Pt 0.7302 0.7302 0.9609  9 Pt 2.70-2.80, 3 Li 2.72-2.81

The energy relative to the elements comes out at -229 meV/atom. The space-group type is Cm, No. 8. For the total energy, the calculation gives -33.5 eV per cell. The value obtained for the size of the total moment is 0.00 Bohr magnetons per cell.



3.
A plane-wave DFT calculation with GGA-PBE was carried out for a geometry-optimized Li4Pt3 structure.

a = 5.2799 Å, b = 5.2799 Å, c = 4.5658 Å
α = 90.00°, β = 90.00°, γ = 120.00°
Last column: nearest neighbours and their distance in Å.
Element x y z (fractional)
1 Li 0.0000 0.0000 0.2318  1 Li 2.12
2 Li 0.0000 0.0000 0.7682  1 Li 2.12
3 Li 0.3333 0.6667 0.5000  6 Pt 2.74, 3 Li 3.05
4 Li 0.6667 0.3333 0.5000  6 Pt 2.74, 3 Li 3.05
5 Pt 0.0000 0.5000 0.0000  4 Pt 2.64, 8 Li 2.74-2.84
6 Pt 0.5000 0.0000 0.0000  4 Pt 2.64, 8 Li 2.74-2.84
7 Pt 0.5000 0.5000 0.0000  4 Pt 2.64, 8 Li 2.74-2.84

The energy relative to the elements comes out at -491 meV/atom. The space-group type is P6/mmm, No. 191. For the total energy, the calculation gives -29.2 eV per cell. The value obtained for the size of the total moment is 0.00 Bohr magnetons per cell.